Density functional theory data (PBE+U) for crystalline Cr3HgO at its relaxed geometry.

Results
Offset from the most stable computed form   0 kJ/mol of formula units
DFT total energy   -5.790 eV per atom
Total magnetization   12.3 μB per cell

Unit cell a=4.339 b=4.339 c=4.339 alpha=90.00 beta=90.00 gamma=90.00
Space group Pm-3m (No. 221)
Inequivalent atoms, fractional coordinates:
Cr1 0.000 0.000 0.500 (multiplicity 3)
Hg1 0.500 0.500 0.500 (multiplicity 1)
O1 0.000 0.000 0.000 (multiplicity 1)